Density functional theory data (PBE-GGA) for ScTlW2 after structural relaxation.

Cell: 2.9715 2.9715 9.4233 Å, 90.00 90.00 111.53°
Element x y z (fractional)
W 0.0000 0.0000 0.0251
W 0.5000 0.5000 0.2367
Sc 0.0000 0.0000 0.4788
Tl 0.5000 0.5000 0.7594

crystal system = orthorhombic

Density functional theory data (PBE-GGA) for ScTlW2 after structural relaxation.

Cell: 5.4285 5.4285 5.4285 Å, 141.91 128.14 66.13°
Element x y z (fractional)
Tl 0.2407 0.7407 0.5000
W 0.7709 0.2709 0.5000
W 0.9754 0.9754 0.0000
Sc 0.5130 0.5130 0.0000

crystal system = orthorhombic

Density functional theory data (PBE-GGA) for ScTlW2 after structural relaxation.

Cell: 4.7372 4.7372 4.7372 Å, 60.00 60.00 60.00°
Site moments in Bohr magnetons follow the coordinates.
Element x y z (fractional)
Sc 0.0000 0.0000 0.0000  0.32
Tl 0.5000 0.5000 0.5000  0.00
W 0.7500 0.7500 0.7500  0.80
W 0.2500 0.2500 0.2500  0.80

crystal system = cubic

Density functional theory data (PBE-GGA) for ScTl2W after structural relaxation.

Cell: 5.5828 5.5828 5.5828 Å, 135.55 135.55 64.67°
Site moments in Bohr magnetons follow the coordinates.
Element x y z (fractional)
W 0.5000 0.5000 0.0000  0.57
Sc 0.7500 0.2500 0.5000  0.07
Tl 0.2500 0.7500 0.5000  -0.01
Tl 0.0000 0.0000 0.0000  0.00

energy above the most stable polymorph in this dataset = 88 meV per atom
crystal system = tetragonal

Density functional theory data (PBE-GGA) for ScTlW2 after structural relaxation.

Cell: 9.9311 9.9311 9.9311 Å, 17.39 17.39 17.39°
Element x y z (fractional)
W 0.5007 0.5007 0.5007
W 0.9993 0.9993 0.9993
Sc 0.2500 0.2500 0.2500
Tl 0.7500 0.7500 0.7500

crystal system = trigonal

Density functional theory data (PBE-GGA) for ScTlW4 after structural relaxation.

Cell: 5.4145 5.4145 5.4145 Å, 60.00 60.00 60.00°
Element x y z (fractional)
W 0.3745 0.3745 0.3745
W 0.3745 0.3745 0.8765
W 0.8765 0.3745 0.3745
W 0.3745 0.8765 0.3745
Sc 0.7500 0.7500 0.7500
Tl 0.0000 0.0000 0.0000

crystal system = cubic

Density functional theory data (PBE-GGA) for ScTlW2 after structural relaxation.

Cell: 3.2925 3.2925 7.0427 Å, 90.00 90.00 90.00°
Element x y z (fractional)
W 0.5000 0.5000 0.2298
W 0.0000 0.0000 0.0370
Sc 0.0000 0.0000 0.4717
Tl 0.5000 0.5000 0.7615

crystal system = tetragonal

Density functional theory data (PBE-GGA) for Sc2TlW after structural relaxation.

Cell: 3.4362 3.3928 7.9210 Å, 64.59 90.00 90.00°
Element x y z (fractional)
Sc 0.0000 0.4690 0.5306
Sc 0.0000 0.0310 0.9694
W 0.5000 0.7500 0.7500
Tl 0.5000 0.2500 0.2500

energy above the most stable polymorph in this dataset = 0 meV per atom
crystal system = orthorhombic

Density functional theory data (PBE-GGA) for Sc4TlW after structural relaxation.

Cell: 5.6406 5.6406 5.6406 Å, 60.00 60.00 60.00°
Element x y z (fractional)
Sc 0.3728 0.3728 0.8817
Sc 0.8817 0.3728 0.3728
Sc 0.3728 0.3728 0.3728
Sc 0.3728 0.8817 0.3728
Tl 0.7500 0.7500 0.7500
W 0.0000 0.0000 0.0000

crystal system = cubic

Density functional theory data (PBE-GGA) for ScTl2W after structural relaxation.

Cell: 3.1168 3.1168 9.5800 Å, 90.00 90.00 104.49°
Element x y z (fractional)
Tl 0.5000 0.5000 0.2733
Tl 0.0000 0.0000 0.9891
W 0.0000 0.0000 0.5145
Sc 0.5000 0.5000 0.7230

energy above the most stable polymorph in this dataset = 10 meV per atom
crystal system = orthorhombic

Density functional theory data (PBE-GGA) for ScTl2W after structural relaxation.

Cell: 3.1156 3.1156 8.6310 Å, 90.00 90.00 90.00°
Site moments in Bohr magnetons follow the coordinates.
Element x y z (fractional)
W 0.5000 0.5000 0.2500  -0.33
Sc 0.5000 0.5000 0.7500  0.49
Tl 0.0000 0.0000 0.4900  0.00
Tl 0.0000 0.0000 0.0100  0.00

energy above the most stable polymorph in this dataset = 105 meV per atom
crystal system = tetragonal

Density functional theory data (PBE-GGA) for ScTl4W after structural relaxation.

Cell: 5.9365 5.9365 5.9365 Å, 60.00 60.00 60.00°
Element x y z (fractional)
Tl 0.3753 0.3753 0.8740
Tl 0.3753 0.3753 0.3753
Tl 0.8740 0.3753 0.3753
Tl 0.3753 0.8740 0.3753
W 0.7500 0.7500 0.7500
Sc 0.0000 0.0000 0.0000

crystal system = cubic

In the order shown, the computed calculated total energy values come out to -0.30498; -0.30145; -0.28016; -0.20083; -0.29067; -0.35499; -0.30997; -0.25512; -0.22951; -0.20370; -0.20021; -0.14031 Ha/atom.
In the order shown, the computed energy of formation values come out to 1.41; 1.79; 4.11; 2.16; 2.97; 2.55; 0.86; 0.21; 3.17; 1.84; 2.23; 5.84 eV per formula unit.